No. 1
# Sc4Au3 (PBE, optimized geometry)
# - ΔE_f (eV per atom) = -0.58
# - electronic total energy (eV per atom) = -5.603
# - total moment (μB/cell) = 5.18
# - N(E_F) (states/eV/atom) = 0.689
data_Sc4Au3
_space_group_name_H-M_alt 'I 4/m m m'
_space_group_IT_number 139
_space_group_name_Hall '-I 4 2'
_cell_length_a 3.5700
_cell_length_b 3.5700
_cell_length_c 22.7939
_cell_angle_alpha 90.00
_cell_angle_beta 90.00
_cell_angle_gamma 90.00
loop_
_atom_site_label
_atom_site_type_symbol
_atom_site_fract_x
_atom_site_fract_y
_atom_site_fract_z
_atom_site_occupancy
Sc1 Sc 0.0000 0.0000 0.0689 1
Sc2 Sc 0.0000 0.0000 0.3427 1
Au1 Au 0.0000 0.0000 0.2111 1
Au2 Au 0.0000 0.0000 0.5000 1

***

No. 2
# Nd5Ho6Mg (PBE, optimized geometry)
# - ΔE_f (eV per atom) = 0.02
# - electronic total energy (eV per atom) = -4.384
# - total moment (μB/cell) = 0.00
# - N(E_F) (states/eV/atom) = 1.395
data_Nd5Ho6Mg
_space_group_name_H-M_alt 'I m m m'
_space_group_IT_number 71
_space_group_name_Hall '-I 2 2'
_cell_length_a 5.0699
_cell_length_b 10.0875
_cell_length_c 15.0970
_cell_angle_alpha 90.00
_cell_angle_beta 90.00
_cell_angle_gamma 90.00
loop_
_atom_site_label
_atom_site_type_symbol
_atom_site_fract_x
_atom_site_fract_y
_atom_site_fract_z
_atom_site_occupancy
Nd1 Nd 0.0000 0.0000 0.0000 1
Nd2 Nd 0.0000 0.0000 0.3336 1
Nd3 Nd 0.0000 0.5000 0.3336 1
Ho1 Ho 0.0000 0.2499 0.5000 1
Ho2 Ho 0.0000 0.2521 0.1660 1
Mg1 Mg 0.0000 0.5000 0.0000 1

***

No. 3
# K2CaCl (PBE, optimized geometry)
# - energy relative to the elements, uncorrected (meV/atom) = -415
# - electronic total energy (eV per atom) = -1.926
# - total moment (μB/cell) = 0.00
# - N(E_F) (states/eV/atom) = 0.496
data_K2CaCl
_space_group_name_H-M_alt 'I 4/m m m'
_space_group_IT_number 139
_space_group_name_Hall '-I 4 2'
_cell_length_a 5.2171
_cell_length_b 5.2171
_cell_length_c 13.3261
_cell_angle_alpha 90.00
_cell_angle_beta 90.00
_cell_angle_gamma 90.00
loop_
_atom_site_label
_atom_site_type_symbol
_atom_site_fract_x
_atom_site_fract_y
_atom_site_fract_z
_atom_site_occupancy
K1 K 0.0000 0.5000 0.2500 1
Ca1 Ca 0.0000 0.0000 0.0000 1
Cl1 Cl 0.0000 0.0000 0.5000 1

***

No. 4
# LaTbAl4 (PBE, optimized geometry)
# - ΔE_f (eV per atom) = -0.49
# - electronic total energy (eV per atom) = -4.576
# - total moment (μB/cell) = 0.00
# - N(E_F) (states/eV/atom) = 0.868
data_LaTbAl4
_space_group_name_H-M_alt 'F -4 3 m'
_space_group_IT_number 216
_space_group_name_Hall 'F -4 2 3'
_cell_length_a 8.0223
_cell_length_b 8.0223
_cell_length_c 8.0223
_cell_angle_alpha 90.00
_cell_angle_beta 90.00
_cell_angle_gamma 90.00
loop_
_atom_site_label
_atom_site_type_symbol
_atom_site_fract_x
_atom_site_fract_y
_atom_site_fract_z
_atom_site_occupancy
La1 La 0.0000 0.0000 0.0000 1
Tb1 Tb 0.2500 0.2500 0.2500 1
Al1 Al 0.1250 0.1250 0.6250 1

***

No. 5
# Ba3Li5Ag2 (PBE, optimized geometry)
# - ΔE_f (eV per atom) = -0.10
# - electronic total energy (eV per atom) = -2.206
# - total moment (μB/cell) = 0.00
# - N(E_F) (states/eV/atom) = 0.575
data_Ba3Li5Ag2
_space_group_name_H-M_alt 'P 4/m b m'
_space_group_IT_number 127
_space_group_name_Hall '-P 4 2ab'
_cell_length_a 11.7467
_cell_length_b 11.7467
_cell_length_c 4.5075
_cell_angle_alpha 90.00
_cell_angle_beta 90.00
_cell_angle_gamma 90.00
loop_
_atom_site_label
_atom_site_type_symbol
_atom_site_fract_x
_atom_site_fract_y
_atom_site_fract_z
_atom_site_occupancy
Ba1 Ba 0.0000 0.0000 0.0000 1
Ba2 Ba 0.1839 0.3161 0.0000 1
Li1 Li 0.0000 0.5000 0.5000 1
Li2 Li 0.0672 0.7474 0.5000 1
Ag1 Ag 0.1024 0.6024 0.0000 1

***

No. 6
# LiPu2Ga6 (PBE, optimized geometry)
# - ΔE_f (eV per atom) = -0.04
# - electronic total energy (eV per atom) = -5.453
# - total moment (μB/cell) = 0.00
# - N(E_F) (states/eV/atom) = 1.455
data_LiPu2Ga6
_space_group_name_H-M_alt 'P 6/m m m'
_space_group_IT_number 191
_space_group_name_Hall '-P 6 2'
_cell_length_a 8.1882
_cell_length_b 8.1882
_cell_length_c 2.5835
_cell_angle_alpha 90.00
_cell_angle_beta 90.00
_cell_angle_gamma 120.00
loop_
_atom_site_label
_atom_site_type_symbol
_atom_site_fract_x
_atom_site_fract_y
_atom_site_fract_z
_atom_site_occupancy
Li1 Li 0.0000 0.0000 0.0000 1
Pu1 Pu 0.3333 0.6667 0.0000 1
Ga1 Ga 0.0000 0.3256 0.5000 1

***

No. 7
# Zr2RuSe (PBE, optimized geometry)
# - energy relative to the elements, uncorrected (meV/atom) = -575
# - electronic total energy (eV per atom) = -8.039
# - total moment (μB/cell) = 0.00
# - N(E_F) (states/eV/atom) = 0.638
data_Zr2RuSe
_space_group_name_H-M_alt 'P m m 2'
_space_group_IT_number 25
_cell_length_a 3.6481
_cell_length_b 3.9601
_cell_length_c 5.6587
_cell_angle_alpha 90.00
_cell_angle_beta 90.00
_cell_angle_gamma 90.00
loop_
_space_group_symop_operation_xyz
'x,y,z'
'-x,-y,z'
'-x,y,z'
'x,-y,z'
loop_
_atom_site_label
_atom_site_type_symbol
_atom_site_fract_x
_atom_site_fract_y
_atom_site_fract_z
_atom_site_occupancy
Zr1 Zr 0.0000 0.0000 0.0000 1
Zr2 Zr 0.5000 0.5000 0.4046 1
Ru1 Ru 0.0000 0.0000 0.4446 1
Se1 Se 0.5000 0.5000 0.8901 1

***

No. 8
# Al2GaOsSe (PBE, optimized geometry)
# - energy relative to the elements, uncorrected (meV/atom) = 1038
# - electronic total energy (eV per atom) = -4.008
# - total moment (μB/cell) = 0.00
# - N(E_F) (states/eV/atom) = 0.885
data_Al2GaOsSe
_space_group_name_H-M_alt 'P 4/m m m'
_space_group_IT_number 123
_space_group_name_Hall '-P 4 2'
_cell_length_a 4.7177
_cell_length_b 4.7177
_cell_length_c 4.6886
_cell_angle_alpha 90.00
_cell_angle_beta 90.00
_cell_angle_gamma 90.00
loop_
_atom_site_label
_atom_site_type_symbol
_atom_site_fract_x
_atom_site_fract_y
_atom_site_fract_z
_atom_site_occupancy
Al1 Al 0.0000 0.5000 0.0000 1
Ga1 Ga 0.0000 0.0000 0.0000 1
Os1 Os 0.0000 0.0000 0.5000 1
Se1 Se 0.5000 0.5000 0.5000 1